No. 1
# Y2ScCo, relaxed, DFT GGA-PBE
# ΔH_f (0 K): 0.294 eV/atom
# energy above the lowest structure with this stoichiometry: 10.553 kcal/mol of atoms
# DOS at the Fermi energy: 1.424 states/eV/atom
data_Y2ScCo
_chemical_formula_sum 'Y8 Sc4 Co4'
_cell_length_a 7.1178
_cell_length_b 7.1178
_cell_length_c 7.1178
_cell_angle_alpha 90.00
_cell_angle_beta 90.00
_cell_angle_gamma 90.00
_symmetry_space_group_name_H-M 'F -4 3 m'
_symmetry_Int_Tables_number 216
_symmetry_space_group_name_Hall 'F -4 2 3'
loop_
_atom_site_label
_atom_site_fract_x
_atom_site_fract_y
_atom_site_fract_z
Y1 0.0000 0.0000 0.0000
Y2 0.2500 0.2500 0.2500
Sc1 0.0000 0.0000 0.5000
Co1 0.2500 0.2500 0.7500



No. 2
# Y2ScCo, relaxed, DFT GGA-PBE
# ΔH_f (0 K): -0.019 eV/atom
# energy above the lowest structure with this stoichiometry: 3.337 kcal/mol of atoms
# DOS at the Fermi energy: 0.997 states/eV/atom
data_Y2ScCo
_chemical_formula_sum 'Y2 Sc1 Co1'
_cell_length_a 3.4087
_cell_length_b 3.4087
_cell_length_c 8.3146
_cell_angle_alpha 90.00
_cell_angle_beta 90.00
_cell_angle_gamma 90.00
_symmetry_space_group_name_H-M 'P 4/m m m'
_symmetry_Int_Tables_number 123
_symmetry_space_group_name_Hall '-P 4 2'
loop_
_atom_site_label
_atom_site_fract_x
_atom_site_fract_y
_atom_site_fract_z
Y1 0.0000 0.0000 0.1966
Sc1 0.5000 0.5000 0.5000
Co1 0.5000 0.5000 0.0000



No. 3
# Y2ScCo, relaxed, DFT GGA-PBE
# ΔH_f (0 K): 0.025 eV/atom
# energy above the lowest structure with this stoichiometry: 4.370 kcal/mol of atoms
# DOS at the Fermi energy: 1.332 states/eV/atom
data_Y2ScCo
_chemical_formula_sum 'Y6 Sc3 Co3'
_cell_length_a 3.6325
_cell_length_b 3.6325
_cell_length_c 27.0604
_cell_angle_alpha 90.00
_cell_angle_beta 90.00
_cell_angle_gamma 120.00
_symmetry_space_group_name_H-M 'R 3 m'
_symmetry_Int_Tables_number 160
_symmetry_space_group_name_Hall 'R 3 -2"'
loop_
_atom_site_label
_atom_site_fract_x
_atom_site_fract_y
_atom_site_fract_z
Y1 0.0000 0.0000 0.0000
Y2 0.0000 0.0000 0.2163
Sc1 0.0000 0.0000 0.4449
Co1 0.0000 0.0000 0.7285



No. 4
# YSc3Co, relaxed, DFT GGA-PBE
# ΔH_f (0 K): 1.455 eV/atom
# energy above the lowest structure with this stoichiometry: 35.662 kcal/mol of atoms
# DOS at the Fermi energy: 1.503 states/eV/atom
data_YSc3Co
_chemical_formula_sum 'Y1 Sc3 Co1'
_cell_length_a 5.0945
_cell_length_b 5.0945
_cell_length_c 5.0945
_cell_angle_alpha 90.00
_cell_angle_beta 90.00
_cell_angle_gamma 90.00
_symmetry_space_group_name_H-M 'P m -3 m'
_symmetry_Int_Tables_number 221
_symmetry_space_group_name_Hall '-P 4 2 3'
loop_
_atom_site_label
_atom_site_fract_x
_atom_site_fract_y
_atom_site_fract_z
Y1 0.0000 0.0000 0.0000
Sc1 0.0000 0.0000 0.5000
Co1 0.5000 0.5000 0.5000



No. 5
# YScCo2, relaxed, DFT GGA-PBE
# ΔH_f (0 K): 0.187 eV/atom
# energy above the lowest structure with this stoichiometry: 9.131 kcal/mol of atoms
# DOS at the Fermi energy: 1.048 states/eV/atom
data_YScCo2
_chemical_formula_sum 'Y3 Sc3 Co6'
_cell_length_a 3.3740
_cell_length_b 3.3740
_cell_length_c 22.3716
_cell_angle_alpha 90.00
_cell_angle_beta 90.00
_cell_angle_gamma 120.00
_symmetry_space_group_name_H-M 'R -3 m'
_symmetry_Int_Tables_number 166
_symmetry_space_group_name_Hall '-R 3 2"'
loop_
_atom_site_label
_atom_site_fract_x
_atom_site_fract_y
_atom_site_fract_z
Y1 0.0000 0.0000 0.0000
Sc1 0.0000 0.0000 0.5000
Co1 0.0000 0.0000 0.2454



No. 6
# YSc2Co2, relaxed, DFT GGA-PBE
# ΔH_f (0 K): 0.043 eV/atom
# energy above the lowest structure with this stoichiometry: 2.438 kcal/mol of atoms
# DOS at the Fermi energy: 1.102 states/eV/atom
data_YSc2Co2
_chemical_formula_sum 'Y2 Sc4 Co4'
_cell_length_a 4.5769
_cell_length_b 4.5769
_cell_length_c 9.6171
_cell_angle_alpha 90.00
_cell_angle_beta 90.00
_cell_angle_gamma 90.00
_symmetry_space_group_name_H-M 'I 4/m m m'
_symmetry_Int_Tables_number 139
_symmetry_space_group_name_Hall '-I 4 2'
loop_
_atom_site_label
_atom_site_fract_x
_atom_site_fract_y
_atom_site_fract_z
Y1 0.0000 0.0000 0.0000
Sc1 0.0000 0.0000 0.3405
Co1 0.0000 0.5000 0.2500



Number 1: VASP energy -100.765 eV for the cell shown. Number 2: VASP energy -26.443 eV for the cell shown. Number 3: VASP energy -78.791 eV for the cell shown. Number 4: VASP energy -25.287 eV for the cell shown. Number 5: VASP energy -78.782 eV for the cell shown. Number 6: VASP energy -66.247 eV for the cell shown.